# 1
SmPu2Mg: optimized geometry, PBE.

Summary:
The density of states at the Fermi level is 13.8 states/eV/f.u. The excess energy over the best structure of this formula in the dataset comes out at 0.0 meV/atom. The value obtained for the energy of formation from the pure elements is 0.173 eV/atom. As for the space group: P4/mmm, No. 123.

Unit cell a=5.2660 b=4.5836 c=4.5836 alpha=90.00 beta=90.00 gamma=90.00
Fractional coordinates of all 4 atoms:
Mg 0.5000 0.5000 0.5000
Sm 0.5000 0.0000 0.0000
Pu 0.0000 0.0000 0.5000
Pu 0.0000 0.5000 0.0000

---

# 2
La2InGa: optimized geometry, PBE.

Summary:
The density of states at the Fermi level is 4.8 states/eV/f.u. The excess energy over the best structure of this formula in the dataset comes out at 347.0 meV/atom. The value obtained for the energy of formation from the pure elements is -0.194 eV/atom. As for the space group: I-42d, No. 122.

Unit cell a=8.7224 b=8.7224 c=6.9551 alpha=51.17 beta=51.17 gamma=90.00
Fractional coordinates of all 8 atoms:
In 0.0000 0.0000 0.0000
In 0.7500 0.2500 0.5000
Ga 0.5000 0.5000 0.0000
Ga 0.2500 0.7500 0.5000
La 0.6014 0.1250 0.2500
La 0.1486 0.6250 0.2500
La 0.3750 0.3986 0.7500
La 0.8750 0.8514 0.7500

---

# 3
Na2ZnSiSe4: optimized geometry, PBE.

Summary:
Its formation energy from raw total energies is -74 kJ/mol of atoms. As for the space group: Pmn2_1, No. 31.

Unit cell a=6.8419 b=8.0977 c=7.8882 alpha=90.00 beta=90.00 gamma=90.00
Fractional coordinates of all 16 atoms:
Na 0.4933 0.3339 0.2568
Na 0.4933 0.3339 0.7432
Na 0.9933 0.6661 0.7568
Na 0.9933 0.6661 0.2432
Zn 0.9924 0.1359 0.5000
Zn 0.4924 0.8641 0.0000
Si 0.4996 0.8453 0.5000
Si 0.9996 0.1547 0.0000
Se 0.3331 0.1341 0.0000
Se 0.8331 0.8659 0.5000
Se 0.3569 0.0992 0.5000
Se 0.8569 0.9008 0.0000
Se 0.4156 0.6903 0.7382
Se 0.9156 0.3097 0.2382
Se 0.9156 0.3097 0.7618
Se 0.4156 0.6903 0.2618

---

# 4
CaGe2Au2: optimized geometry, PBE.

Summary:
The density of states at the Fermi level is 3.9 states/eV/f.u. The value obtained for the energy of formation from the pure elements is -0.201 eV/atom. As for the space group: P4/mbm, No. 127.

Unit cell a=7.7169 b=7.7169 c=3.5475 alpha=90.00 beta=90.00 gamma=90.00
Fractional coordinates of all 10 atoms:
Ge 0.1742 0.6742 0.5000
Ge 0.6742 0.8258 0.5000
Ge 0.8258 0.3258 0.5000
Ge 0.3258 0.1742 0.5000
Au 0.3685 0.8685 0.0000
Au 0.8685 0.6315 0.0000
Au 0.6315 0.1315 0.0000
Au 0.1315 0.3685 0.0000
Ca 0.0000 0.0000 0.0000
Ca 0.5000 0.5000 0.0000

---

# 5
TaMoW2: optimized geometry, PBE.

Summary:
The density of states at the Fermi level is 1.7 states/eV/f.u. The excess energy over the best structure of this formula in the dataset comes out at 23.8 meV/atom. The value obtained for the energy of formation from the pure elements is -0.108 eV/atom. As for the space group: Imm2, No. 44.

Unit cell a=5.3120 b=5.3120 c=5.3120 alpha=144.86 beta=129.37 gamma=63.12
Fractional coordinates of all 4 atoms:
Mo 0.4973 0.4973 0.0000
W 0.0032 0.0032 0.0000
W 0.2504 0.7504 0.5000
Ta 0.7491 0.2491 0.5000

---

# 6
PrSmTm2: optimized geometry, PBE.

Summary:
The density of states at the Fermi level is 5.6 states/eV/f.u. The excess energy over the best structure of this formula in the dataset comes out at 9.5 meV/atom. The value obtained for the energy of formation from the pure elements is 0.027 eV/atom. As for the space group: R3m, No. 160.

Unit cell a=3.5962 b=3.5962 c=11.7815 alpha=81.22 beta=81.22 gamma=60.00
Fractional coordinates of all 4 atoms:
Pr 0.5006 0.5006 0.4983
Sm 0.6664 0.6664 0.0009
Tm 0.0819 0.0819 0.7542
Tm 0.2511 0.2511 0.2466

---

# 7
Ac6AlAg2: optimized geometry, PBE.

Summary:
The density of states at the Fermi level is 10.4 states/eV/f.u. The value obtained for the energy of formation from the pure elements is -0.133 eV/atom. As for the space group: Immm, No. 71.

Unit cell a=9.4765 b=9.4765 c=9.4765 alpha=107.70 beta=109.59 gamma=111.14
Fractional coordinates of all 18 atoms:
Ac 0.5538 0.7322 0.8216
Ac 0.4462 0.2678 0.1784
Ac 0.0894 0.2678 0.8216
Ac 0.9106 0.7322 0.1784
Ac 0.8063 0.7544 0.5607
Ac 0.1937 0.2456 0.4393
Ac 0.1937 0.7544 0.9481
Ac 0.8063 0.2456 0.0519
Ac 0.7152 0.3885 0.6733
Ac 0.2848 0.6115 0.3267
Ac 0.2848 0.9581 0.6733
Ac 0.7152 0.0419 0.3267
Al 0.0000 0.5000 0.5000
Al 0.0000 0.0000 0.0000
Ag 0.5000 0.3734 0.8734
Ag 0.5000 0.6266 0.1266
Ag 0.6425 0.0000 0.6425
Ag 0.3575 0.0000 0.3575

---

# 8
UCu2S4: optimized geometry, PBE.

Summary:
The density of states at the Fermi level is 3.6 states/eV/f.u. Its formation energy from raw total energies is -66 kJ/mol of atoms. As for the space group: Imma, No. 74.

Unit cell a=7.8888 b=7.0887 c=7.0887 alpha=63.75 beta=56.19 gamma=56.19
Fractional coordinates of all 14 atoms:
U 0.0000 0.5000 0.0000
U 0.5000 0.5000 0.0000
Cu 0.0727 0.1773 0.6773
Cu 0.5000 0.0000 0.0000
Cu 0.5000 0.5000 0.5000
Cu 0.9273 0.8227 0.3227
S 0.2252 0.2912 0.2584
S 0.2252 0.7584 0.7912
S 0.3116 0.2249 0.7249
S 0.7386 0.2249 0.7249
S 0.2614 0.7751 0.2751
S 0.7748 0.2416 0.2088
S 0.6884 0.7751 0.2751
S 0.7748 0.7088 0.7416

---

# 9
SrCl: optimized geometry, PBE.

Summary:
The density of states at the Fermi level is 0.6 states/eV/f.u. Its formation energy from raw total energies is -167 kJ/mol of atoms. As for the space group: Fddd, No. 70.

Unit cell a=10.1536 b=13.1224 c=9.5032 alpha=90.00 beta=90.00 gamma=90.00
Fractional coordinates of all 32 atoms:
Sr 0.0000 0.0000 0.2390
Sr 0.0000 0.0000 0.7610
Sr 0.2500 0.7500 0.0110
Sr 0.2500 0.7500 0.4890
Sr 0.0000 0.5000 0.7390
Sr 0.0000 0.5000 0.2610
Sr 0.2500 0.2500 0.5110
Sr 0.2500 0.2500 0.9890
Sr 0.5000 0.0000 0.7390
Sr 0.5000 0.0000 0.2610
Sr 0.7500 0.7500 0.5110
Sr 0.7500 0.7500 0.9890
Sr 0.5000 0.5000 0.2390
Sr 0.5000 0.5000 0.7610
Sr 0.7500 0.2500 0.0110
Sr 0.7500 0.2500 0.4890
Cl 0.0000 0.3650 0.0000
Cl 0.0000 0.6350 0.0000
Cl 0.2500 0.3850 0.2500
Cl 0.2500 0.1150 0.2500
Cl 0.0000 0.8650 0.5000
Cl 0.0000 0.1349 0.5000
Cl 0.2500 0.8850 0.7500
Cl 0.2500 0.6150 0.7500
Cl 0.5000 0.3650 0.5000
Cl 0.5000 0.6350 0.5000
Cl 0.7500 0.3850 0.7500
Cl 0.7500 0.1150 0.7500
Cl 0.5000 0.8650 0.0000
Cl 0.5000 0.1349 0.0000
Cl 0.7500 0.8850 0.2500
Cl 0.7500 0.6150 0.2500

---

# 10
Zn3Se2S: optimized geometry, PBE.

Summary:
Its formation energy from raw total energies is -71 kJ/mol of atoms. As for the space group: Cc, No. 9.

Unit cell a=6.9074 b=6.9074 c=6.9024 alpha=99.58 beta=99.58 gamma=120.03
Fractional coordinates of all 12 atoms:
Zn 0.0523 0.2068 0.3740
Zn 0.2068 0.0523 0.8740
Zn 0.8902 0.3765 0.8871
Zn 0.3765 0.8902 0.3871
Zn 0.5650 0.7319 0.8873
Zn 0.7319 0.5650 0.3873
Se 0.5955 0.4275 0.0073
Se 0.7647 0.2605 0.5074
Se 0.4275 0.5955 0.5073
Se 0.2605 0.7647 0.0074
S 0.0935 0.9307 0.5082
S 0.9307 0.0935 0.0082

---

# 11
RbY3I: optimized geometry, PBE.

Summary:
The density of states at the Fermi level is 10.9 states/eV/f.u. Its formation energy from raw total energies is 38 kJ/mol of atoms. The excess energy over the best structure of this formula in the dataset comes out at 0.0 meV/atom. As for the space group: Pm-3m, No. 221.

Unit cell a=5.8858 b=5.8858 c=5.8858 alpha=90.00 beta=90.00 gamma=90.00
Fractional coordinates of all 5 atoms:
I 0.0000 0.0000 0.0000
Y 0.0000 0.5000 0.0000
Y 0.0000 0.0000 0.5000
Y 0.5000 0.0000 0.0000
Rb 0.5000 0.5000 0.5000

---

Copy entry 6 word for word.
PrSmTm2: optimized geometry, PBE.

Summary:
The density of states at the Fermi level is 5.6 states/eV/f.u. The excess energy over the best structure of this formula in the dataset comes out at 9.5 meV/atom. The value obtained for the energy of formation from the pure elements is 0.027 eV/atom. As for the space group: R3m, No. 160.

Unit cell a=3.5962 b=3.5962 c=11.7815 alpha=81.22 beta=81.22 gamma=60.00
Fractional coordinates of all 4 atoms:
Pr 0.5006 0.5006 0.4983
Sm 0.6664 0.6664 0.0009
Tm 0.0819 0.0819 0.7542
Tm 0.2511 0.2511 0.2466